Run a
# Sn2S3O12

A crystal of Sn2S3O12 relaxed with PBEsol (meta-GGA SCAN, Alexandria).

Unit cell a=9.032 b=9.078 c=12.305 alpha=90.00 beta=90.00 gamma=90.00
Positions (direct):
Sn  0.458  0.251  0.620
Sn  0.958  0.249  0.880
Sn  0.958  0.749  0.620
Sn  0.042  0.751  0.120
Sn  0.458  0.751  0.880
Sn  0.042  0.251  0.380
Sn  0.542  0.749  0.380
Sn  0.542  0.249  0.120
O  0.404  0.064  0.176
O  0.647  0.961  0.434
O  0.332  0.353  0.078
O  0.904  0.436  0.324
O  0.404  0.564  0.324
O  0.647  0.461  0.066
O  0.410  0.377  0.465
O  0.668  0.647  0.922
O  0.490  0.179  0.789
O  0.168  0.853  0.578
O  0.096  0.064  0.824
O  0.510  0.321  0.289
O  0.242  0.358  0.310
O  0.410  0.877  0.035
O  0.510  0.821  0.211
O  0.242  0.858  0.190
O  0.590  0.123  0.965
O  0.168  0.353  0.922
O  0.853  0.461  0.934
O  0.853  0.961  0.566
O  0.904  0.936  0.176
O  0.258  0.358  0.690
O  0.353  0.039  0.566
O  0.742  0.642  0.310
O  0.090  0.877  0.965
O  0.832  0.647  0.078
O  0.010  0.179  0.211
O  0.990  0.821  0.789
O  0.147  0.039  0.434
O  0.332  0.853  0.422
O  0.596  0.936  0.824
O  0.010  0.679  0.289
O  0.832  0.147  0.422
O  0.758  0.642  0.690
O  0.668  0.147  0.578
O  0.742  0.142  0.190
O  0.590  0.623  0.535
O  0.910  0.123  0.035
O  0.090  0.377  0.535
O  0.490  0.679  0.711
O  0.353  0.539  0.934
O  0.096  0.564  0.676
O  0.147  0.539  0.066
O  0.990  0.321  0.711
O  0.258  0.858  0.810
O  0.596  0.436  0.676
O  0.910  0.623  0.465
O  0.758  0.142  0.810
S  0.392  0.404  0.348
S  0.892  0.096  0.152
S  0.250  0.948  0.500
S  0.608  0.596  0.652
S  0.750  0.052  0.500
S  0.108  0.404  0.652
S  0.108  0.904  0.848
S  0.892  0.596  0.348
S  0.750  0.552  0.000
S  0.608  0.096  0.848
S  0.250  0.448  0.000
S  0.392  0.904  0.152

- Theoretical density: 3.46 Mg/m³


Run b
# Sn2S3O12

A crystal of Sn2S3O12 relaxed with PBEsol (meta-GGA SCAN, Alexandria).

Unit cell a=8.421 b=8.421 c=9.589 alpha=63.95 beta=63.95 gamma=60.00
Positions (direct):
O  0.475  0.790  0.880
O  0.236  0.944  0.391
O  0.790  0.855  0.880
O  0.210  0.145  0.120
O  0.239  0.840  0.774
O  0.480  0.841  0.161
O  0.840  0.147  0.774
O  0.145  0.525  0.120
O  0.944  0.429  0.391
O  0.855  0.475  0.880
O  0.764  0.056  0.609
O  0.056  0.571  0.609
O  0.520  0.159  0.839
O  0.518  0.480  0.161
O  0.841  0.518  0.161
O  0.525  0.210  0.120
O  0.147  0.239  0.774
O  0.159  0.482  0.839
O  0.761  0.160  0.226
O  0.160  0.853  0.226
O  0.853  0.761  0.226
O  0.429  0.236  0.391
O  0.482  0.520  0.839
O  0.571  0.764  0.609
S  0.559  0.268  0.230
S  0.058  0.441  0.770
S  0.441  0.732  0.770
S  0.268  0.942  0.230
S  0.732  0.058  0.770
S  0.942  0.559  0.230
Sn  0.339  0.339  0.983
Sn  0.661  0.661  0.017
Sn  0.140  0.140  0.581
Sn  0.860  0.860  0.419

- Theoretical density: 3.44 Mg/m³


From most stable to least stable, the computed energies give run b, run a.


Run a
# VS2O8

A crystal of VS2O8 relaxed with PBEsol (meta-GGA SCAN, Alexandria).

Unit cell a=8.251 b=8.251 c=8.726 alpha=61.78 beta=61.78 gamma=60.00
Site moments in Bohr magnetons follow the coordinates.
Positions (direct):
O  0.040  0.644  0.600  -0.01
O  0.715  0.040  0.600  -0.01
O  0.028  0.313  0.711  -0.02
O  0.876  0.490  0.920  -0.02
O  0.948  0.028  0.711  -0.02
O  0.233  0.365  0.792  -0.02
O  0.102  0.458  0.081  -0.02
O  0.490  0.714  0.920  -0.02
O  0.714  0.876  0.920  -0.02
O  0.360  0.102  0.081  -0.02
O  0.068  0.011  0.257  -0.01
O  0.664  0.068  0.257  -0.01
O  0.644  0.715  0.600  -0.01
O  0.596  0.402  0.235  -0.02
O  0.313  0.948  0.711  -0.02
O  0.767  0.596  0.235  -0.02
O  0.458  0.360  0.081  -0.02
O  0.365  0.611  0.792  -0.02
O  0.273  0.979  0.409  -0.02
O  0.402  0.767  0.235  -0.02
O  0.011  0.664  0.257  -0.01
O  0.611  0.233  0.792  -0.02
O  0.338  0.273  0.409  -0.02
O  0.979  0.338  0.409  -0.02
V  0.355  0.355  0.934  0.71
V  0.147  0.147  0.559  1.29
V  0.644  0.644  0.068  1.22
S  0.967  0.524  0.248  0.01
S  0.524  0.261  0.248  0.01
S  0.042  0.466  0.746  0.01
S  0.746  0.042  0.746  0.01
S  0.261  0.967  0.248  0.01
S  0.466  0.746  0.746  0.01

- Theoretical density: 2.81 Mg/m³


Run b
# VS2O8

A crystal of VS2O8 relaxed with PBEsol (meta-GGA SCAN, Alexandria).

Unit cell a=8.880 b=9.072 c=12.910 alpha=90.00 beta=90.00 gamma=90.00
Site moments in Bohr magnetons follow the coordinates.
Positions (direct):
O  0.502  0.730  0.284  -0.02
O  0.498  0.770  0.784  -0.02
O  0.489  0.486  0.369  0.00
O  0.976  0.686  0.484  -0.02
O  0.511  0.014  0.869  0.00
O  0.476  0.814  0.484  -0.02
O  0.502  0.230  0.216  -0.02
O  0.730  0.410  0.720  -0.02
O  0.300  0.508  0.972  -0.01
O  0.017  0.016  0.821  -0.01
O  0.483  0.016  0.321  -0.01
O  0.775  0.692  0.919  -0.01
O  0.976  0.186  0.016  -0.02
O  0.989  0.014  0.369  0.00
O  0.024  0.314  0.516  -0.02
O  0.998  0.730  0.784  -0.02
O  0.726  0.739  0.105  0.00
O  0.725  0.192  0.081  -0.01
O  0.524  0.186  0.516  -0.02
O  0.770  0.910  0.280  -0.02
O  0.498  0.270  0.716  -0.02
O  0.800  0.992  0.972  -0.01
O  0.489  0.986  0.131  0.00
O  0.275  0.308  0.581  -0.01
O  0.800  0.492  0.528  -0.01
O  0.274  0.761  0.605  0.00
O  0.983  0.984  0.179  -0.01
O  0.011  0.986  0.631  0.00
O  0.200  0.008  0.028  -0.01
O  0.476  0.314  0.016  -0.02
O  0.226  0.261  0.395  0.00
O  0.989  0.514  0.131  0.00
O  0.517  0.484  0.821  -0.01
O  0.770  0.410  0.220  -0.02
O  0.725  0.692  0.419  -0.01
O  0.983  0.484  0.321  -0.01
O  0.270  0.590  0.280  -0.02
O  0.200  0.508  0.472  -0.01
O  0.774  0.739  0.605  0.00
O  0.730  0.910  0.780  -0.02
O  0.726  0.239  0.395  0.00
O  0.998  0.230  0.716  -0.02
O  0.225  0.808  0.419  -0.01
O  0.700  0.992  0.472  -0.01
O  0.483  0.516  0.179  -0.01
O  0.517  0.984  0.679  -0.01
O  0.230  0.590  0.780  -0.02
O  0.002  0.770  0.284  -0.02
O  0.225  0.308  0.081  -0.01
O  0.300  0.008  0.528  -0.01
O  0.775  0.192  0.581  -0.01
O  0.230  0.090  0.720  -0.02
O  0.017  0.516  0.679  -0.01
O  0.524  0.686  0.984  -0.02
O  0.774  0.239  0.895  0.00
O  0.024  0.814  0.984  -0.02
O  0.700  0.492  0.028  -0.01
O  0.011  0.486  0.869  0.00
O  0.274  0.261  0.895  0.00
O  0.275  0.808  0.919  -0.01
O  0.511  0.514  0.631  0.00
O  0.270  0.090  0.220  -0.02
O  0.002  0.270  0.216  -0.02
O  0.226  0.761  0.105  0.00
S  0.440  0.573  0.284  0.01
S  0.815  0.157  0.984  0.01
S  0.060  0.573  0.784  0.01
S  0.685  0.157  0.484  0.01
S  0.185  0.843  0.016  0.01
S  0.685  0.657  0.016  0.01
S  0.185  0.343  0.484  0.01
S  0.940  0.427  0.216  0.01
S  0.315  0.843  0.516  0.01
S  0.560  0.927  0.784  0.01
S  0.815  0.657  0.516  0.01
S  0.560  0.427  0.716  0.01
S  0.940  0.927  0.284  0.01
S  0.060  0.073  0.716  0.01
S  0.440  0.073  0.216  0.01
S  0.315  0.343  0.984  0.01
V  0.112  0.643  0.373  1.03
V  0.388  0.143  0.627  1.03
V  0.888  0.857  0.873  1.03
V  0.112  0.143  0.127  1.03
V  0.612  0.357  0.127  1.03
V  0.612  0.857  0.373  1.03
V  0.388  0.643  0.873  1.03
V  0.888  0.357  0.627  1.03

- Theoretical density: 3.10 Mg/m³


From most stable to least stable, the computed energies give run b, run a.


Run a
# Si3SbO

A crystal of Si3SbO relaxed with PBEsol (meta-GGA SCAN, Alexandria).

Unit cell a=4.330 b=4.330 c=4.330 alpha=90.00 beta=90.00 gamma=90.00
Positions (direct):
Si  0.000  0.000  0.500
Si  0.500  0.000  0.000
Si  0.000  0.500  0.000
O  0.000  0.000  0.000
Sb  0.500  0.500  0.500

- Theoretical density: 4.54 Mg/m³


Run b
# Si3SbO

A crystal of Si3SbO relaxed with PBEsol (meta-GGA SCAN, Alexandria).

Unit cell a=5.114 b=5.114 c=5.114 alpha=90.00 beta=90.00 gamma=90.00
Site moments in Bohr magnetons follow the coordinates.
Positions (direct):
Sb  0.000  0.000  0.000  -0.01
O  0.500  0.500  0.500  1.19
Si  0.500  0.000  0.000  0.03
Si  0.000  0.000  0.500  0.03
Si  0.000  0.500  0.000  0.03

- Theoretical density: 2.76 Mg/m³


From most stable to least stable, the computed energies give run a, run b.


Run a
# SbTe2O

A crystal of SbTe2O relaxed with PBEsol (meta-GGA SCAN, Alexandria).

Unit cell a=3.955 b=3.955 c=8.417 alpha=76.41 beta=76.41 gamma=60.00
Positions (direct):
O  0.000  0.000  0.000
Te  0.083  0.083  0.751
Te  0.917  0.917  0.249
Sb  0.500  0.500  0.500

- Theoretical density: 5.94 Mg/m³


Run b
# SbTe2O

A crystal of SbTe2O relaxed with PBEsol (meta-GGA SCAN, Alexandria).

Unit cell a=3.210 b=3.210 c=9.798 alpha=80.57 beta=80.57 gamma=60.00
Positions (direct):
Sb  0.000  0.000  0.000
O  0.500  0.500  0.500
Te  0.105  0.105  0.684
Te  0.895  0.895  0.316

- Theoretical density: 7.60 Mg/m³


From most stable to least stable, the computed energies give run a, run b.